(1)
{"formula": "Ba2ZnGa", "functional": "PBE", "state": "relaxed", "lattice_angstrom": [[0.0000, 3.9791, 3.9791], [3.9791, 0.0000, 3.9791], [3.9791, 3.9791, 0.0000]], "species": ["Ba", "Ba", "Zn", "Ga"], "frac_coords": [[0.0000, 0.0000, 0.0000], [0.2500, 0.2500, 0.2500], [0.7500, 0.7500, 0.7500], [0.5000, 0.5000, 0.5000]], "energy_ev_per_atom": -2.0318}



(2)
{"formula": "CdSeO4", "functional": "PBE", "state": "relaxed", "lattice_angstrom": [[4.9719, 0.0000, 0.0000], [0.0000, 5.7107, 0.0000], [-0.4100, 0.0000, 4.9232]], "species": ["Cd", "Cd", "Se", "Se", "O", "O", "O", "O", "O", "O", "O", "O"], "frac_coords": [[0.0000, 0.1867, 0.2500], [0.0000, 0.8133, 0.7500], [0.5000, 0.3426, 0.7500], [0.5000, 0.6574, 0.2500], [0.2682, 0.1424, 0.6205], [0.2682, 0.8576, 0.1205], [0.2990, 0.4073, 0.0460], [0.2990, 0.5927, 0.5460], [0.7010, 0.4073, 0.4540], [0.7010, 0.5927, 0.9540], [0.7318, 0.1424, 0.8795], [0.7318, 0.8576, 0.3795]], "energy_ev_per_atom": -4.6780}



(3)
{"formula": "Ta3Te14Pd3", "functional": "PBE", "state": "relaxed", "lattice_angstrom": [[14.6265, 0.0000, 0.0000], [0.0000, 3.7836, 0.0000], [-5.5786, 0.0000, 20.3617]], "species": ["Ta", "Ta", "Ta", "Ta", "Ta", "Ta", "Te", "Te", "Te", "Te", "Te", "Te", "Te", "Te", "Te", "Te", "Te", "Te", "Te", "Te", "Te", "Te", "Te", "Te", "Te", "Te", "Te", "Te", "Te", "Te", "Te", "Te", "Te", "Te", "Pd", "Pd", "Pd", "Pd", "Pd", "Pd"], "frac_coords": [[0.0541, 0.2500, 0.3103], [0.3009, 0.7500, 0.0439], [0.4243, 0.2500, 0.6553], [0.5757, 0.7500, 0.3447], [0.6991, 0.2500, 0.9561], [0.9459, 0.7500, 0.6897], [0.0553, 0.7500, 0.2087], [0.0558, 0.2500, 0.6390], [0.1104, 0.7500, 0.9537], [0.1120, 0.2500, 0.4534], [0.1409, 0.7500, 0.7756], [0.1856, 0.2500, 0.0903], [0.2063, 0.7500, 0.3458], [0.2760, 0.7500, 0.6132], [0.3149, 0.2500, 0.9457], [0.3408, 0.7500, 0.1867], [0.3812, 0.2500, 0.7706], [0.3892, 0.2500, 0.5122], [0.4386, 0.2500, 0.3482], [0.4511, 0.2500, 0.0871], [0.5489, 0.7500, 0.9129], [0.5614, 0.7500, 0.6518], [0.6108, 0.7500, 0.4878], [0.6188, 0.7500, 0.2294], [0.6592, 0.2500, 0.8133], [0.6851, 0.7500, 0.0543], [0.7240, 0.2500, 0.3868], [0.7937, 0.2500, 0.6542], [0.8144, 0.7500, 0.9097], [0.8591, 0.2500, 0.2244], [0.8880, 0.7500, 0.5466], [0.8896, 0.2500, 0.0463], [0.9442, 0.7500, 0.3610], [0.9447, 0.2500, 0.7913], [0.1292, 0.2500, 0.8653], [0.2509, 0.7500, 0.4810], [0.4814, 0.2500, 0.2276], [0.5186, 0.7500, 0.7724], [0.7491, 0.2500, 0.5190], [0.8708, 0.7500, 0.1347]], "energy_ev_per_atom": -5.0893}